1.
# Cs3Tb7Te12 (PBE, optimized geometry)
data_Cs3Tb7Te12
_chemical_formula_sum 'Cs6 Tb14 Te24'
_symmetry_space_group_name_H-M 'P 1'
_symmetry_Int_Tables_number 1
_cell_length_a 4.4673
_cell_length_b 13.5854
_cell_length_c 28.8407
_cell_angle_alpha 90.00
_cell_angle_beta 90.00
_cell_angle_gamma 90.00
loop_
_symmetry_equiv_pos_as_xyz
'x,y,z'
loop_
_atom_site_label
_atom_site_fract_x
_atom_site_fract_y
_atom_site_fract_z
Cs1 0.0000 0.0185 0.0000
Cs2 0.0000 0.2918 0.6422
Cs3 0.0000 0.4757 0.2541
Cs4 0.5000 0.5243 0.7541
Cs5 0.5000 0.7082 0.1422
Cs6 0.5000 0.9815 0.5000
Tb1 0.0000 0.1732 0.3348
Tb2 0.0000 0.2546 0.1247
Tb3 0.0000 0.3255 0.9139
Tb4 0.0000 0.5365 0.5366
Tb5 0.0000 0.6609 0.9386
Tb6 0.0000 0.8415 0.3098
Tb7 0.0000 0.9585 0.7104
Tb8 0.5000 0.0415 0.2104
Tb9 0.5000 0.1585 0.8098
Tb10 0.5000 0.3391 0.4386
Tb11 0.5000 0.4635 0.0366
Tb12 0.5000 0.6745 0.4139
Tb13 0.5000 0.7454 0.6247
Tb14 0.5000 0.8268 0.8348
Te1 0.0000 0.1849 0.4417
Te2 0.0000 0.1963 0.2278
Te3 0.0000 0.3076 0.0210
Te4 0.0000 0.3137 0.8058
Te5 0.0000 0.5084 0.4263
Te6 0.0000 0.5858 0.6410
Te7 0.0000 0.6216 0.0431
Te8 0.0000 0.6744 0.8332
Te9 0.0000 0.8271 0.4157
Te10 0.0000 0.8847 0.2051
Te11 0.0000 0.9013 0.6082
Te12 0.0000 0.9911 0.8214
Te13 0.5000 0.0089 0.3214
Te14 0.5000 0.0987 0.1082
Te15 0.5000 0.1153 0.7051
Te16 0.5000 0.1729 0.9157
Te17 0.5000 0.3256 0.3332
Te18 0.5000 0.3784 0.5431
Te19 0.5000 0.4142 0.1410
Te20 0.5000 0.4916 0.9263
Te21 0.5000 0.6863 0.3058
Te22 0.5000 0.6924 0.5210
Te23 0.5000 0.8037 0.7278
Te24 0.5000 0.8151 0.9417
# symmetry = Pmn2_1, No. 31

2.
# CsTb4Te6 (PBE, optimized geometry)
data_CsTb4Te6
_chemical_formula_sum 'Cs2 Tb8 Te12'
_symmetry_space_group_name_H-M 'P 1'
_symmetry_Int_Tables_number 1
_cell_length_a 7.7300
_cell_length_b 7.7300
_cell_length_c 23.6038
_cell_angle_alpha 90.00
_cell_angle_beta 90.00
_cell_angle_gamma 146.37
loop_
_symmetry_equiv_pos_as_xyz
'x,y,z'
loop_
_atom_site_label
_atom_site_fract_x
_atom_site_fract_y
_atom_site_fract_z
Cs1 0.1631 0.8369 0.7500
Cs2 0.8369 0.1631 0.2500
Tb1 0.0940 0.9060 0.1286
Tb2 0.0940 0.9060 0.3714
Tb3 0.3659 0.6341 0.0381
Tb4 0.3659 0.6341 0.4619
Tb5 0.6341 0.3659 0.5381
Tb6 0.6341 0.3659 0.9619
Tb7 0.9060 0.0940 0.6286
Tb8 0.9060 0.0940 0.8714
Te1 0.0000 0.0000 0.0000
Te2 0.0000 0.0000 0.5000
Te3 0.1381 0.8619 0.2500
Te4 0.2698 0.7302 0.5816
Te5 0.2698 0.7302 0.9184
Te6 0.4599 0.5401 0.1502
Te7 0.4599 0.5401 0.3498
Te8 0.5401 0.4599 0.6502
Te9 0.5401 0.4599 0.8498
Te10 0.7302 0.2698 0.0816
Te11 0.7302 0.2698 0.4184
Te12 0.8619 0.1381 0.7500
# symmetry = Cmcm, No. 63
# N(E_F) = 2.42 states/eV/f.u.
# E above lowest polymorph = 0 meV per atom

3.
# CsTb4Te6 (PBE, optimized geometry)
data_CsTb4Te6
_chemical_formula_sum 'Cs1 Tb4 Te6'
_symmetry_space_group_name_H-M 'P 1'
_symmetry_Int_Tables_number 1
_cell_length_a 8.1313
_cell_length_b 8.1313
_cell_length_c 8.1313
_cell_angle_alpha 116.97
_cell_angle_beta 116.97
_cell_angle_gamma 95.33
loop_
_symmetry_equiv_pos_as_xyz
'x,y,z'
loop_
_atom_site_label
_atom_site_fract_x
_atom_site_fract_y
_atom_site_fract_z
Cs1 0.0000 0.0000 0.0000
Tb1 0.2175 0.5881 0.0000
Tb2 0.4119 0.4119 0.6294
Tb3 0.5881 0.2175 0.0000
Tb4 0.7825 0.7825 0.3706
Te1 0.0000 0.5000 0.5000
Te2 0.1542 0.1542 0.6862
Te3 0.4680 0.4680 0.3138
Te4 0.5000 0.0000 0.5000
Te5 0.5320 0.8458 0.0000
Te6 0.8458 0.5320 0.0000
# symmetry = I-42m, No. 121
# N(E_F) = 3.66 states/eV/f.u.
# E above lowest polymorph = 207 meV per atom

4.
# CsTbTe (PBE, optimized geometry)
data_CsTbTe
_chemical_formula_sum 'Cs2 Tb2 Te2'
_symmetry_space_group_name_H-M 'P 1'
_symmetry_Int_Tables_number 1
_cell_length_a 4.8087
_cell_length_b 4.8087
_cell_length_c 13.5341
_cell_angle_alpha 99.28
_cell_angle_beta 99.28
_cell_angle_gamma 90.00
loop_
_symmetry_equiv_pos_as_xyz
'x,y,z'
loop_
_atom_site_label
_atom_site_fract_x
_atom_site_fract_y
_atom_site_fract_z
Cs1 0.1367 0.1367 0.3016
Cs2 0.8633 0.8633 0.6984
Tb1 0.0000 0.5000 0.0000
Tb2 0.5000 0.0000 0.0000
Te1 0.4277 0.4277 0.8407
Te2 0.5723 0.5723 0.1593
# symmetry = C2/m, No. 12
# N(E_F) = 2.84 states/eV/f.u.

Number 1: E_form (uncorrected) -1.421 eV/atom, magnetization 0.0 μB/f.u., raw total energy -4.72 eV per atom. Number 2: E_form (uncorrected) -1.345 eV/atom, magnetization 0.0 μB/f.u., raw total energy -4.82 eV per atom. Number 3: E_form (uncorrected) -1.137 eV/atom, magnetization 0.0 μB/f.u., raw total energy -4.61 eV per atom. Number 4: E_form (uncorrected) -0.844 eV/atom, magnetization 0.0 μB/f.u., raw total energy -3.72 eV per atom.